Record 1
Below is an optimized crystal structure of SmPa2Se4, with properties calculated at the PBE-GGA level.

## Properties
relative energy among the computed polymorphs: 0.00 eV per formula unit

a b c (Å): 3.9335 6.8841 14.3045
angles (deg): 90.00 90.00 106.60
Closest atoms and distances in Å follow each position.
Positions (direct):
Sm 0.6092 0.2185 0.7500  6 Se 2.95
Sm 0.3908 0.7815 0.2500  6 Se 2.95
Pa 0.1443 0.2885 0.4380  6 Se 2.88-2.92
Pa 0.8557 0.7115 0.9380  6 Se 2.88-2.92
Pa 0.1443 0.2885 0.0620  6 Se 2.88-2.92
Pa 0.8557 0.7115 0.5620  6 Se 2.88-2.92
Se 0.7861 0.5723 0.1305  3 Pa 2.89-2.90, 2 Sm 2.95
Se 0.7861 0.5723 0.3695  3 Pa 2.89-2.90, 2 Sm 2.95
Se 0.2139 0.4277 0.8695  3 Pa 2.89-2.90, 2 Sm 2.95
Se 0.2139 0.4277 0.6305  3 Pa 2.89-2.90, 2 Sm 2.95
Se 0.9427 0.8853 0.7500  2 Pa 2.92, 2 Sm 2.95
Se 0.0573 0.1147 0.2500  2 Pa 2.92, 2 Sm 2.95
Se 0.5000 0.0000 0.0000  4 Pa 2.88
Se 0.5000 0.0000 0.5000  4 Pa 2.88

---

Record 2
Below is an optimized crystal structure of SmPaSe2, with properties calculated at the PBE-GGA level.

## Properties
relative energy among the computed polymorphs: 0.91 eV per formula unit

a b c (Å): 5.0446 5.0446 5.0446
angles (deg): 60.00 60.00 60.00
Closest atoms and distances in Å follow each position.
Positions (direct):
Pa 0.0000 0.0000 0.0000  8 Se 3.09
Se 0.2500 0.2500 0.2500  4 Pa 3.09, 4 Sm 3.09
Se 0.7500 0.7500 0.7500  4 Pa 3.09, 4 Sm 3.09
Sm 0.5000 0.5000 0.5000  8 Se 3.09

---

Record 3
Below is an optimized crystal structure of Sm3PaSe6, with properties calculated at the PBE-GGA level.

## Properties
relative energy among the computed polymorphs: 0.00 eV per formula unit

a b c (Å): 4.1260 11.6990 12.0073
angles (deg): 107.89 90.00 90.00
Closest atoms and distances in Å follow each position.
Positions (direct):
Sm 0.7500 0.4206 0.8342  6 Se 2.89-2.95
Sm 0.2500 0.5794 0.1658  6 Se 2.89-2.95
Sm 0.7500 0.6793 0.5029  7 Se 2.87-3.15
Sm 0.2500 0.3207 0.4971  7 Se 2.87-3.15
Sm 0.7500 0.1589 0.0769  6 Se 2.86-2.94
Sm 0.2500 0.8411 0.9231  6 Se 2.86-2.94
Pa 0.7500 0.0439 0.6947  8 Se 2.98-3.11
Pa 0.2500 0.9561 0.3053  8 Se 2.98-3.11
Se 0.7500 0.4820 0.6190  4 Sm 2.87-3.04
Se 0.2500 0.5180 0.3810  4 Sm 2.87-3.04
Se 0.7500 0.9178 0.1049  3 Sm 2.94, 2 Pa 3.10, 1 Se 3.26
Se 0.2500 0.0822 0.8951  3 Sm 2.94, 2 Pa 3.10, 1 Se 3.26
Se 0.7500 0.4013 0.0712  4 Sm 2.86-2.92
Se 0.2500 0.5987 0.9288  4 Sm 2.86-2.92
Se 0.7500 0.7559 0.2823  3 Sm 2.95-3.05, 2 Pa 3.07, 1 Se 3.26
Se 0.2500 0.2441 0.7177  3 Sm 2.95-3.05, 2 Pa 3.07, 1 Se 3.26
Se 0.7500 0.1095 0.4628  3 Pa 2.99-3.11, 2 Sm 3.15
Se 0.2500 0.8905 0.5372  3 Pa 2.99-3.11, 2 Sm 3.15
Se 0.7500 0.8120 0.7491  3 Sm 2.88-2.89, 1 Pa 2.98
Se 0.2500 0.1880 0.2509  3 Sm 2.88-2.89, 1 Pa 2.98

---

Record 4
Below is an optimized crystal structure of Sm4Pa3Se8, with properties calculated at the PBE-GGA level.

## Properties
electronic total energy: -99.15 eV/cell

a b c (Å): 8.2248 8.2068 8.2068
angles (deg): 90.02 120.12 120.12
Closest atoms and distances in Å follow each position.
Positions (direct):
Sm 0.5000 0.0000 0.0000  6 Se 2.91-2.94
Sm 0.0000 0.5000 0.0000  6 Se 2.90
Sm 0.0000 0.0000 0.0000  6 Se 2.98
Sm 0.0000 0.0000 0.5000  6 Se 2.90
Pa 0.5000 0.5000 0.0000  6 Se 2.90
Pa 0.5000 0.0000 0.5000  6 Se 2.90
Pa 0.5000 0.5000 0.5000  6 Se 2.86-2.89
Se 0.5152 0.2590 0.2590  3 Pa 2.89-2.90, 2 Sm 2.92-2.98
Se 0.0000 0.7435 0.2565  2 Pa 2.90, 3 Sm 2.90-2.98
Se 0.0067 0.2604 0.2604  1 Pa 2.86, 4 Sm 2.90-2.98
Se 0.5000 0.7492 0.2508  3 Pa 2.89-2.90, 3 Sm 2.90-2.91
Se 0.5000 0.2508 0.7492  3 Pa 2.89-2.90, 3 Sm 2.90-2.91
Se 0.9933 0.7396 0.7396  1 Pa 2.86, 4 Sm 2.90-2.98
Se 0.0000 0.2565 0.7435  2 Pa 2.90, 3 Sm 2.90-2.98
Se 0.4848 0.7410 0.7410  3 Pa 2.89-2.90, 2 Sm 2.92-2.98

---

Record 5
Below is an optimized crystal structure of SmPa6Se12, with properties calculated at the PBE-GGA level.

## Properties
electronic total energy: -128.47 eV/cell

a b c (Å): 8.3341 8.3341 8.3341
angles (deg): 100.41 100.41 100.41
Closest atoms and distances in Å follow each position.
Positions (direct):
Sm 0.0000 0.0000 0.0000  6 Se 2.83
Pa 0.6883 0.8640 0.3702  6 Se 2.84-3.00
Pa 0.6298 0.3117 0.1360  6 Se 2.84-3.00
Pa 0.1360 0.6298 0.3117  6 Se 2.84-3.00
Pa 0.3117 0.1360 0.6298  6 Se 2.84-3.00
Pa 0.3702 0.6883 0.8640  6 Se 2.84-3.00
Pa 0.8640 0.3702 0.6883  6 Se 2.84-3.00
Se 0.8236 0.5787 0.4351  4 Pa 2.90-3.00
Se 0.4351 0.8236 0.5787  4 Pa 2.90-3.00
Se 0.5787 0.4351 0.8236  4 Pa 2.90-3.00
Se 0.1764 0.4213 0.5649  4 Pa 2.90-3.00
Se 0.5649 0.1764 0.4213  4 Pa 2.90-3.00
Se 0.4213 0.5649 0.1764  4 Pa 2.90-3.00
Se 0.0670 0.9531 0.3319  1 Sm 2.83, 2 Pa 2.84-2.89
Se 0.0469 0.6681 0.9330  1 Sm 2.83, 2 Pa 2.84-2.89
Se 0.6681 0.9330 0.0469  1 Sm 2.83, 2 Pa 2.84-2.89
Se 0.9330 0.0469 0.6681  1 Sm 2.83, 2 Pa 2.84-2.89
Se 0.9531 0.3319 0.0670  1 Sm 2.83, 2 Pa 2.84-2.89
Se 0.3319 0.0670 0.9531  1 Sm 2.83, 2 Pa 2.84-2.89

---

Record 6
Below is an optimized crystal structure of Sm3Pa4Se8, with properties calculated at the PBE-GGA level.

## Properties
electronic total energy: -102.37 eV/cell

a b c (Å): 8.1248 8.1835 8.1835
angles (deg): 90.06 119.71 119.71
Closest atoms and distances in Å follow each position.
Positions (direct):
Sm 0.5000 0.5000 0.0000  6 Se 2.89-2.90
Sm 0.5000 0.0000 0.5000  6 Se 2.89-2.90
Sm 0.5000 0.5000 0.5000  6 Se 2.90-2.92
Pa 0.5000 0.0000 0.0000  6 Se 2.86-2.89
Pa 0.0000 0.5000 0.0000  6 Se 2.89-2.90
Pa 0.0000 0.0000 0.0000  6 Se 2.95-2.99
Pa 0.0000 0.0000 0.5000  6 Se 2.89-2.90
Se 0.5096 0.2522 0.2522  2 Pa 2.86-2.95, 3 Sm 2.90-2.92
Se 0.0000 0.7436 0.2564  3 Pa 2.89-2.97, 2 Sm 2.90
Se 0.9977 0.2573 0.2573  4 Pa 2.89-2.99, 1 Sm 2.91
Se 0.5000 0.7506 0.2494  3 Pa 2.89-2.90, 3 Sm 2.89-2.90
Se 0.5000 0.2494 0.7506  3 Pa 2.89-2.90, 3 Sm 2.89-2.90
Se 0.0023 0.7427 0.7427  4 Pa 2.89-2.99, 1 Sm 2.91
Se 0.0000 0.2564 0.7436  3 Pa 2.89-2.97, 2 Sm 2.90
Se 0.4904 0.7478 0.7478  2 Pa 2.86-2.95, 3 Sm 2.90-2.92

---

Record 7
Below is an optimized crystal structure of Sm5Pa2Se12, with properties calculated at the PBE-GGA level.

## Properties
electronic total energy: -115.71 eV/cell

a b c (Å): 7.7752 8.9906 9.4355
angles (deg): 105.55 90.00 115.62
Closest atoms and distances in Å follow each position.
Positions (direct):
Sm 0.2924 0.5847 0.6349  7 Se 2.98-3.20
Sm 0.3132 0.6264 0.1794  7 Se 2.95-3.19
Sm 0.0000 0.0000 0.5000  6 Se 2.84-3.01
Sm 0.6868 0.3736 0.8206  7 Se 2.95-3.19
Sm 0.7076 0.4153 0.3651  7 Se 2.98-3.20
Pa 0.7401 0.0000 0.0000  6 Se 2.75-2.84
Pa 0.2599 0.0000 0.0000  6 Se 2.75-2.84
Se 0.9895 0.9789 0.1941  2 Pa 2.77, 1 Sm 2.84
Se 0.0915 0.6449 0.9048  1 Pa 2.75, 2 Sm 2.97-3.03
Se 0.5534 0.6449 0.9048  1 Pa 2.75, 2 Sm 2.97-3.03
Se 0.1049 0.7049 0.4373  4 Sm 2.98-3.04
Se 0.6000 0.7049 0.4373  4 Sm 2.98-3.04
Se 0.4982 0.9965 0.7723  2 Pa 2.84, 1 Sm 2.95
Se 0.5018 0.0035 0.2277  2 Pa 2.84, 1 Sm 2.95
Se 0.8951 0.2951 0.5627  4 Sm 2.98-3.04
Se 0.4000 0.2951 0.5627  4 Sm 2.98-3.04
Se 0.9085 0.3551 0.0952  1 Pa 2.75, 2 Sm 2.97-3.03
Se 0.4466 0.3551 0.0952  1 Pa 2.75, 2 Sm 2.97-3.03
Se 0.0105 0.0211 0.8059  2 Pa 2.77, 1 Sm 2.84

---

Record 8
Below is an optimized crystal structure of SmPa2Se4, with properties calculated at the PBE-GGA level.

## Properties
relative energy among the computed polymorphs: 0.59 eV per formula unit

a b c (Å): 7.8953 7.8953 7.8953
angles (deg): 109.02 110.37 109.02
Closest atoms and distances in Å follow each position.
Positions (direct):
Sm 0.7500 0.5000 0.2500  4 Se 2.90
Sm 0.0000 0.0000 0.0000  4 Se 2.90
Pa 0.3750 0.7714 0.6464  6 Se 2.93-2.97
Pa 0.3964 0.2714 0.6250  6 Se 2.93-2.97
Pa 0.8750 0.2286 0.6036  6 Se 2.93-2.97
Pa 0.3536 0.7286 0.1250  6 Se 2.93-2.97
Se 0.7127 0.2073 0.8825  1 Sm 2.90, 3 Pa 2.93-2.97
Se 0.0373 0.6698 0.7446  1 Sm 2.90, 3 Pa 2.93-2.97
Se 0.6752 0.7927 0.5054  1 Sm 2.90, 3 Pa 2.93-2.97
Se 0.0748 0.3302 0.3675  1 Sm 2.90, 3 Pa 2.93-2.97
Se 0.4946 0.1698 0.2873  1 Sm 2.90, 3 Pa 2.93-2.97
Se 0.6325 0.7073 0.9627  1 Sm 2.90, 3 Pa 2.93-2.97
Se 0.2554 0.2927 0.9252  1 Sm 2.90, 3 Pa 2.93-2.97
Se 0.1175 0.8302 0.3248  1 Sm 2.90, 3 Pa 2.93-2.97